Record 1
Crystalline ScZn4Ag7 at its relaxed geometry, computed with PBE.

Computed properties:
The formation enthalpy at 0 K is 0.1033 eV per atom. The space-group type is C2/m, No. 12.

Cell: 5.000 8.550 5.989 Å, 80.76 65.33 73.00°
Sites, in units of the cell vectors:
1 Sc 0.000 0.000 0.000
2 Zn 0.576 0.221 0.627
3 Zn 0.424 0.779 0.373
4 Zn 0.705 0.682 0.907
5 Zn 0.295 0.318 0.093
6 Ag 0.788 0.901 0.523
7 Ag 0.212 0.099 0.477
8 Ag 0.056 0.619 0.268
9 Ag 0.944 0.381 0.732
10 Ag 0.342 0.569 0.747
11 Ag 0.500 0.000 0.000
12 Ag 0.658 0.431 0.253

Record 2
Crystalline Rb2BiS at its relaxed geometry, computed with PBE.

Computed properties:
The calculation puts the energy above the most stable polymorph in this dataset at 0.311 eV/atom. The space-group type is Fm-3m, No. 225. The formation energy from raw total energies comes out at -0.120 eV per atom.

Cell: 6.058 6.058 6.058 Å, 60.00 60.00 60.00°
Last column: magnetic moment on the atom in μB.
Sites, in units of the cell vectors:
1 S 0.000 0.000 0.000  0.40
2 Bi 0.500 0.500 0.500  1.36
3 Rb 0.250 0.250 0.250  0.03
4 Rb 0.750 0.750 0.750  0.03

Record 3
Crystalline BaH16O10 at its relaxed geometry, computed with PBE.

Computed properties:
The calculation puts the energy above the most stable polymorph in this dataset at 0.038 eV/atom. The space-group type is P1, No. 1.

Cell: 6.572 6.663 11.460 Å, 91.05 90.51 94.27°
Sites, in units of the cell vectors:
1 Ba 0.009 0.041 0.509
2 Ba 0.989 0.965 0.010
3 H 0.455 0.407 0.436
4 H 0.416 0.624 0.954
5 H 0.609 0.794 0.632
6 H 0.674 0.962 0.733
7 H 0.441 0.100 0.651
8 H 0.396 0.329 0.631
9 H 0.737 0.469 0.601
10 H 0.893 0.434 0.498
11 H 0.052 0.620 0.646
12 H 0.289 0.664 0.632
13 H 0.562 0.237 0.098
14 H 0.591 0.065 0.006
15 H 0.242 0.798 0.239
16 H 0.395 0.916 0.149
17 H 0.879 0.611 0.198
18 H 0.655 0.605 0.136
19 H 0.073 0.328 0.241
20 H 0.265 0.375 0.148
21 H 0.320 0.197 0.295
22 H 0.488 0.078 0.364
23 H 0.711 0.835 0.286
24 H 0.609 0.771 0.404
25 H 0.045 0.592 0.366
26 H 0.262 0.667 0.415
27 H 0.794 0.360 0.330
28 H 0.254 0.777 0.804
29 H 0.442 0.909 0.868
30 H 0.633 0.176 0.847
31 H 0.207 0.244 0.792
32 H 0.276 0.353 0.909
33 H 0.745 0.542 0.916
34 H 0.968 0.484 0.879
35 O 0.496 0.546 0.592
36 O 0.495 0.466 0.093
37 O 0.477 0.553 0.464
38 O 0.484 0.494 0.966
39 O 0.665 0.936 0.644
40 O 0.330 0.193 0.655
41 O 0.880 0.429 0.586
42 O 0.164 0.730 0.658
43 O 0.596 0.091 0.092
44 O 0.267 0.829 0.156
45 O 0.781 0.702 0.170
46 O 0.162 0.269 0.179
47 O 0.385 0.179 0.374
48 O 0.672 0.892 0.365
49 O 0.140 0.720 0.378
50 O 0.934 0.372 0.359
51 O 0.313 0.815 0.882
52 O 0.656 0.036 0.863
53 O 0.154 0.283 0.870
54 O 0.883 0.597 0.894

Record 4
Crystalline RuPb3F at its relaxed geometry, computed with PBE.

Computed properties:
The calculation puts the energy above the most stable polymorph in this dataset at 0.000 eV/atom. The space-group type is Pm-3m, No. 221. The formation energy from raw total energies comes out at -0.204 eV per atom.

Cell: 5.270 5.270 5.270 Å, 90.00 90.00 90.00°
Sites, in units of the cell vectors:
1 Pb 0.000 0.500 0.000
2 Pb 0.000 0.000 0.500
3 Pb 0.500 0.000 0.000
4 Ru 0.000 0.000 0.000
5 F 0.500 0.500 0.500

Record 5
Crystalline Hf2NiH6 at its relaxed geometry, computed with PBE.

Computed properties:
The space-group type is P2_1/c, No. 14. Its final energy is -5.3241 eV/atom.

Cell: 4.184 6.254 5.823 Å, 90.00 90.82 90.00°
Sites, in units of the cell vectors:
1 Hf 0.988 0.359 0.738
2 Hf 0.512 0.859 0.762
3 Hf 0.488 0.141 0.238
4 Hf 0.012 0.641 0.262
5 Ni 0.500 0.500 0.000
6 Ni 0.000 0.000 0.500
7 H 0.890 0.963 0.239
8 H 0.806 0.604 0.561
9 H 0.822 0.646 0.939
10 H 0.678 0.146 0.561
11 H 0.694 0.104 0.939
12 H 0.610 0.463 0.261
13 H 0.110 0.037 0.761
14 H 0.194 0.396 0.439
15 H 0.178 0.354 0.061
16 H 0.322 0.854 0.439
17 H 0.306 0.896 0.061
18 H 0.390 0.537 0.739

Record 6
Crystalline Rb2AgBiBr6 at its relaxed geometry, computed with PBE.

Computed properties:
The calculation puts the energy above the most stable polymorph in this dataset at 0.000 eV/atom. The space-group type is P2_1/c, No. 14. The formation energy from raw total energies comes out at -1.094 eV per atom.

Cell: 7.876 8.133 11.209 Å, 90.00 89.68 90.00°
Sites, in units of the cell vectors:
1 Rb 0.019 0.935 0.251
2 Rb 0.519 0.565 0.751
3 Rb 0.981 0.065 0.749
4 Rb 0.481 0.435 0.249
5 Ag 0.500 0.000 0.000
6 Ag 0.000 0.500 0.500
7 Bi 0.500 0.000 0.500
8 Bi 0.000 0.500 0.000
9 Br 0.296 0.704 0.041
10 Br 0.796 0.796 0.541
11 Br 0.704 0.296 0.959
12 Br 0.204 0.204 0.459
13 Br 0.298 0.706 0.462
14 Br 0.798 0.794 0.962
15 Br 0.702 0.294 0.538
16 Br 0.202 0.206 0.038
17 Br 0.921 0.511 0.252
18 Br 0.421 0.989 0.752
19 Br 0.079 0.489 0.748
20 Br 0.579 0.011 0.248

Record 7
Crystalline LiReGePd2 at its relaxed geometry, computed with PBE.

Computed properties:
The formation enthalpy at 0 K is 1.1618 eV per atom. The calculation puts the energy above the most stable polymorph in this dataset at 0.377 eV/atom. The space-group type is P4/mmm, No. 123.

Cell: 4.788 4.700 4.788 Å, 90.00 90.00 90.00°
Sites, in units of the cell vectors:
1 Re 0.000 0.000 0.000
2 Ge 0.500 0.500 0.500
3 Pd 0.000 0.000 0.500
4 Pd 0.500 0.000 0.000
5 Li 0.000 0.500 0.000

Record 8
Crystalline Lu2AlBi at its relaxed geometry, computed with PBE.

Computed properties:
The formation enthalpy at 0 K is -0.2687 eV per atom. The space-group type is R-3m, No. 166.

Cell: 3.880 3.880 8.673 Å, 77.07 77.07 60.00°
Sites, in units of the cell vectors:
1 Lu 0.254 0.254 0.239
2 Lu 0.746 0.746 0.761
3 Bi 0.500 0.500 0.500
4 Al 0.000 0.000 0.000

Record 9
Crystalline Rb14Hf2Se9 at its relaxed geometry, computed with PBE.

Computed properties:
The space-group type is P-3, No. 147. The formation energy from raw total energies comes out at -1.007 eV per atom.

Cell: 9.824 9.824 13.435 Å, 90.00 90.00 120.00°
Last column: magnetic moment on the atom in μB.
Sites, in units of the cell vectors:
1 Rb 0.049 0.680 0.906  0.01
2 Rb 0.302 0.907 0.599  0.01
3 Rb 0.093 0.395 0.599  0.01
4 Rb 0.000 0.000 0.256  0.01
5 Rb 0.000 0.000 0.744  0.01
6 Rb 0.320 0.369 0.906  0.01
7 Rb 0.631 0.951 0.906  0.01
8 Rb 0.395 0.302 0.401  0.01
9 Rb 0.605 0.698 0.599  0.01
10 Rb 0.369 0.049 0.094  0.01
11 Rb 0.680 0.631 0.094  0.01
12 Rb 0.907 0.605 0.401  0.01
13 Rb 0.698 0.093 0.401  0.01
14 Rb 0.951 0.320 0.094  0.01
15 Hf 0.333 0.667 0.272  0.06
16 Hf 0.667 0.333 0.728  0.06
17 Se 0.293 0.889 0.335  0.00
18 Se 0.111 0.404 0.335  0.00
19 Se 0.333 0.667 0.082  0.00
20 Se 0.000 0.000 0.000  0.01
21 Se 0.404 0.293 0.665  0.00
22 Se 0.596 0.707 0.335  0.00
23 Se 0.667 0.333 0.918  0.00
24 Se 0.889 0.596 0.665  0.00
25 Se 0.707 0.111 0.665  0.00

Record 10
Crystalline NpZn2CoH8 at its relaxed geometry, computed with PBE.

Computed properties:
The space-group type is P-1, No. 2. Its final energy is -4.1127 eV/atom.

Cell: 4.203 4.415 6.134 Å, 60.78 87.44 92.87°
Last column: magnetic moment on the atom in μB.
Sites, in units of the cell vectors:
1 Np 0.000 0.000 0.500  4.03
2 Zn 0.510 0.353 0.813  0.02
3 Zn 0.490 0.647 0.187  0.02
4 Co 0.000 0.000 0.000  0.55
5 H 0.075 0.662 0.282  -0.01
6 H 0.805 0.738 0.929  0.00
7 H 0.728 0.050 0.165  0.00
8 H 0.925 0.338 0.718  -0.01
9 H 0.195 0.262 0.071  0.00
10 H 0.272 0.950 0.835  0.00
11 H 0.485 0.753 0.564  -0.01
12 H 0.515 0.247 0.436  -0.01

Record 11
Crystalline GdThSnHg at its relaxed geometry, computed with PBE.

Computed properties:
The formation enthalpy at 0 K is -0.4341 eV per atom. The space-group type is F-43m, No. 216.

Cell: 5.404 5.404 5.404 Å, 60.00 60.00 60.00°
Last column: magnetic moment on the atom in μB.
Sites, in units of the cell vectors:
1 Gd 0.000 0.000 0.000  7.08
2 Hg 0.750 0.750 0.750  -0.01
3 Th 0.500 0.500 0.500  0.06
4 Sn 0.250 0.250 0.250  -0.01

Record 12
Crystalline ZnCd14Sn at its relaxed geometry, computed with PBE.

Computed properties:
The formation enthalpy at 0 K is 0.0373 eV per atom. The space-group type is Amm2, No. 38.

Cell: 6.322 6.322 9.054 Å, 90.00 90.00 90.00°
Sites, in units of the cell vectors:
1 Zn 0.626 0.374 0.500
2 Cd 0.125 0.875 0.000
3 Cd 0.625 0.375 0.000
4 Cd 0.125 0.375 0.500
5 Cd 0.125 0.375 0.000
6 Cd 0.625 0.875 0.500
7 Cd 0.625 0.875 0.000
8 Cd 0.382 0.132 0.750
9 Cd 0.382 0.132 0.250
10 Cd 0.868 0.618 0.750
11 Cd 0.868 0.618 0.250
12 Cd 0.382 0.618 0.749
13 Cd 0.382 0.618 0.251
14 Cd 0.868 0.132 0.750
15 Cd 0.868 0.132 0.250
16 Sn 0.125 0.875 0.500

Number 1: volume 18.5 A^3/atom, magnetization 0.00 μB per atom, density 7.93 g/cm³. Number 2: volume 39.3 A^3/atom, magnetization 0.73 μB per atom, density 4.35 g/cm³. Number 3: volume 9.3 A^3/atom, magnetization 0.00 μB per atom, density 2.08 g/cm³. Number 4: volume 29.3 A^3/atom, magnetization 0.00 μB per atom, density 8.41 g/cm³. Number 5: volume 8.5 A^3/atom, magnetization 0.00 μB per atom, density 9.19 g/cm³. Number 6: volume 35.9 A^3/atom, magnetization 0.00 μB per atom, density 4.47 g/cm³. Number 7: volume 21.6 A^3/atom, magnetization 0.00 μB per atom, density 7.37 g/cm³. Number 8: volume 27.3 A^3/atom, magnetization 0.00 μB per atom, density 8.91 g/cm³. Number 9: volume 44.9 A^3/atom, magnetization 0.06 μB per atom, density 3.35 g/cm³. Number 10: volume 8.2 A^3/atom, magnetization 0.41 μB per atom, density 7.30 g/cm³. Number 11: volume 27.9 A^3/atom, magnetization 1.84 μB per atom, density 10.54 g/cm³. Number 12: volume 22.6 A^3/atom, magnetization 0.00 μB per atom, density 8.07 g/cm³.